# LaCoB2O (PBE with a Hubbard U, optimized geometry)
# M_tot (μB/f.u.): 1.432
# E_tot (eV per atom): -3.0219
data_LaCoB2O
_chemical_formula_sum 'La1 Co1 B2 O1'
_cell_length_a 4.869
_cell_length_b 4.869
_cell_length_c 5.462
_cell_angle_alpha 90.00
_cell_angle_beta 90.00
_cell_angle_gamma 90.00
_space_group_name_H-M_alt 'P 4/m m m'
_space_group_IT_number 123
_space_group_name_Hall '-P 4 2'
loop_
_atom_site_label
_atom_site_fract_x
_atom_site_fract_y
_atom_site_fract_z
La1 0.000 0.000 0.000
Co1 0.000 0.000 0.500
B1 0.000 0.500 0.000
O1 0.500 0.500 0.500